A geometry-optimized BeCuAs2 structure. Source: Alexandria via LeMat-Bulk, functional PBE.

Cell: 2.729 2.729 8.773 Å, 90.00 90.00 95.31°
Fractional positions:
1 Be 0.000 0.000 0.000
2 Cu 0.500 0.500 0.833
3 As 0.000 0.000 0.611
4 As 0.500 0.500 0.192

- Total DFT energy (no corrections): -16.2 eV/cell
- ΔE_f: 0.229 eV/atom
- Calculated volume: 65 Å³ per cell



A geometry-optimized Zn7In structure. Source: Alexandria via LeMat-Bulk, functional PBE.

Cell: 5.736 5.736 5.736 Å, 60.00 60.00 60.00°
Fractional positions:
1 Zn 0.000 0.000 0.000
2 Zn 0.000 0.000 0.500
3 Zn 0.000 0.500 0.000
4 Zn 0.000 0.500 0.500
5 Zn 0.500 0.000 0.000
6 Zn 0.500 0.000 0.500
7 Zn 0.500 0.500 0.000
8 In 0.500 0.500 0.500

- Total DFT energy (no corrections): -10.8 eV/cell
- ΔE_f: 0.104 eV/atom
- Calculated volume: 133 Å³ per cell



A geometry-optimized YHo2Sc6 structure. Source: Alexandria via LeMat-Bulk, functional PBE.

Cell: 9.171 9.171 3.295 Å, 90.00 90.00 120.00°
Fractional positions:
1 Y 0.000 0.000 0.000
2 Ho 0.333 0.667 0.000
3 Ho 0.667 0.333 0.000
4 Sc 0.000 0.334 0.500
5 Sc 0.000 0.666 0.500
6 Sc 0.334 0.000 0.500
7 Sc 0.334 0.334 0.500
8 Sc 0.666 0.000 0.500
9 Sc 0.666 0.666 0.500

- Total DFT energy (no corrections): -53.0 eV/cell
- ΔE_f: 0.066 eV/atom
- Energy above the lowest structure with this stoichiometry: 0.0 meV/atom
- Calculated volume: 240 Å³ per cell



A geometry-optimized CaNd2DyHg4 structure. Source: Alexandria via LeMat-Bulk, functional PBE.

Cell: 9.285 9.285 9.285 Å, 33.63 33.63 33.63°
Fractional positions:
1 Ca 0.000 0.000 0.000
2 Nd 0.252 0.252 0.252
3 Nd 0.748 0.748 0.748
4 Dy 0.500 0.500 0.500
5 Hg 0.127 0.127 0.127
6 Hg 0.377 0.377 0.377
7 Hg 0.623 0.623 0.623
8 Hg 0.873 0.873 0.873

- Total DFT energy (no corrections): -21.4 eV/cell
- ΔE_f: -0.511 eV/atom
- Calculated volume: 219 Å³ per cell



A geometry-optimized Ta2RhAu structure. Source: Alexandria via LeMat-Bulk, functional PBE.

Cell: 4.905 4.905 5.039 Å, 101.38 101.38 34.97°
Fractional positions:
1 Ta 0.000 0.000 0.000
2 Ta 0.746 0.746 0.294
3 Rh 0.492 0.492 0.497
4 Au 0.246 0.246 0.780

- Total DFT energy (no corrections): -35.1 eV/cell
- ΔE_f: -0.202 eV/atom
- Calculated volume: 68 Å³ per cell



A geometry-optimized Sc2CdTe structure. Source: Alexandria via LeMat-Bulk, functional PBE.

Cell: 4.951 4.951 3.743 Å, 90.00 90.00 90.00°
Fractional positions:
1 Sc 0.000 0.500 0.000
2 Sc 0.500 0.000 0.000
3 Cd 0.000 0.000 0.500
4 Te 0.500 0.500 0.500

- Total DFT energy (no corrections): -18.6 eV/cell
- Energy above the lowest structure with this stoichiometry: 107.0 meV/atom
- Formation energy without anion corrections: -0.471 eV/atom
- Calculated volume: 92 Å³ per cell



A geometry-optimized CoNi2Os structure. Source: Alexandria via LeMat-Bulk, functional PBE.

Cell: 4.058 4.058 4.058 Å, 60.00 60.00 60.00°
Fractional positions:
1 Co 0.000 0.000 0.000
2 Ni 0.500 0.500 0.500
3 Ni 0.750 0.750 0.750
4 Os 0.250 0.250 0.250

- Total DFT energy (no corrections): -28.8 eV/cell
- ΔE_f: 0.273 eV/atom
- Energy above the lowest structure with this stoichiometry: 174.4 meV/atom
- Calculated volume: 47 Å³ per cell



A geometry-optimized ErSI structure. Source: Alexandria via LeMat-Bulk, functional PBE.

Cell: 4.496 4.496 5.111 Å, 90.00 90.00 120.00°
Fractional positions:
1 Er 0.000 0.000 0.000
2 S 0.667 0.333 0.000
3 I 0.333 0.667 0.500

- Total DFT energy (no corrections): -14.5 eV/cell
- Formation energy without anion corrections: -1.416 eV/atom
- Calculated volume: 89 Å³ per cell



A geometry-optimized Mg2ZrSnN structure. Source: Alexandria via LeMat-Bulk, functional PBE.

Cell: 4.365 4.365 4.544 Å, 90.00 90.00 90.00°
Fractional positions:
1 Mg 0.000 0.500 0.000
2 Mg 0.500 0.000 0.000
3 Zr 0.000 0.000 0.500
4 Sn 0.500 0.500 0.500
5 N 0.000 0.000 0.000

- Total DFT energy (no corrections): -27.2 eV/cell
- Formation energy without anion corrections: -0.617 eV/atom
- Calculated volume: 87 Å³ per cell



A geometry-optimized NaPbBr3 structure. Source: Alexandria via LeMat-Bulk, functional PBE.

Cell: 5.358 5.358 5.358 Å, 90.00 90.00 90.00°
Fractional positions:
1 Na 0.000 0.000 0.000
2 Pb 0.500 0.500 0.500
3 Br 0.000 0.000 0.500
4 Br 0.000 0.500 0.000
5 Br 0.500 0.000 0.000

- Total DFT energy (no corrections): -13.8 eV/cell
- Formation energy without anion corrections: -0.760 eV/atom
- Calculated volume: 154 Å³ per cell



A geometry-optimized CuRuCl2 structure. Source: Alexandria via LeMat-Bulk, functional PBE.

Cell: 6.180 6.180 6.180 Å, 152.61 140.62 48.63°
Fractional positions:
1 Cu 0.000 0.000 0.000
2 Ru 0.190 0.690 0.500
3 Cl 0.385 0.385 0.000
4 Cl 0.675 0.175 0.500

- Total DFT energy (no corrections): -15.5 eV/cell
- Energy above the lowest structure with this stoichiometry: 357.8 meV/atom
- Formation energy without anion corrections: 0.389 eV/atom
- Calculated volume: 69 Å³ per cell



A geometry-optimized La4IrN2 structure. Source: Alexandria via LeMat-Bulk, functional PBE.

Cell: 6.553 6.553 13.062 Å, 90.00 90.00 146.03°
Fractional positions:
1 La 0.000 0.000 0.000
2 La 0.000 0.000 0.500
3 La 0.275 0.725 0.610
4 La 0.275 0.725 0.890
5 La 0.436 0.564 0.250
6 La 0.564 0.436 0.750
7 La 0.725 0.275 0.110
8 La 0.725 0.275 0.390
9 Ir 0.107 0.893 0.250
10 Ir 0.893 0.107 0.750
11 N 0.368 0.632 0.057
12 N 0.368 0.632 0.443
13 N 0.632 0.368 0.557
14 N 0.632 0.368 0.943

- Total DFT energy (no corrections): -103.7 eV/cell
- Energy above the lowest structure with this stoichiometry: 0.0 meV/atom
- Formation energy without anion corrections: -0.950 eV/atom
- Calculated volume: 313 Å³ per cell



- Which formula does entry 2 have?
  Zn7In